A plane-wave DFT calculation with GGA+U was carried out for a relaxed FeMoO6 crystal.

Lattice parameters (Å, degrees): 5.5369 5.5369 5.5369 60.00 60.00 60.00
Closest atoms and distances in Å follow each position.
Positions (direct):
Fe 0.0000 0.0000 0.0000  6 O 2.00
Mo 0.5000 0.5000 0.5000  6 O 1.92
O 0.2549 0.2549 0.7451  1 Mo 1.92, 1 Fe 2.00
O 0.2549 0.7451 0.2549  1 Mo 1.92, 1 Fe 2.00
O 0.2549 0.7451 0.7451  1 Mo 1.92, 1 Fe 2.00
O 0.7451 0.2549 0.2549  1 Mo 1.92, 1 Fe 2.00
O 0.7451 0.2549 0.7451  1 Mo 1.92, 1 Fe 2.00
O 0.7451 0.7451 0.2549  1 Mo 1.92, 1 Fe 2.00

Summary:
Uncorrected energy (eV per atom): -6.103
Space group: No. 225
Size of the total moment (μB per atom): 1.004
Density (Mg/m³): 3.43